# 1
This record from Alexandria via LeMat-Bulk describes crystalline Cs3ThPa2O9 at its relaxed geometry. The functional is PBE.

Calculated values
- space-group type = P-3m1 (164)
- total moment (μB/f.u.) = 0.00
- uncorrected formation energy (eV per atom) = -2.908
- calculated total energy (eV/f.u.) = -117.211

a = 6.367 Å, b = 6.367 Å, c = 7.797 Å
α = 90.00°, β = 90.00°, γ = 120.00°
Positions (direct):
Cs (0.000, 0.000, 0.000)
Cs (0.333, 0.667, 0.666)
Cs (0.667, 0.333, 0.334)
Th (0.000, 0.000, 0.500)
Pa (0.333, 0.667, 0.164)
Pa (0.667, 0.333, 0.836)
O (0.000, 0.500, 0.000)
O (0.173, 0.346, 0.325)
O (0.173, 0.827, 0.325)
O (0.346, 0.173, 0.675)
O (0.500, 0.000, 0.000)
O (0.500, 0.500, 0.000)
O (0.654, 0.827, 0.325)
O (0.827, 0.173, 0.675)
O (0.827, 0.654, 0.675)

---

# 2
This record from Alexandria via LeMat-Bulk describes crystalline LaAl4In at its relaxed geometry. The functional is PBE.

Calculated values
- ΔH_f (0 K) (meV per atom) = -177
- space-group type = F-43m (216)
- total moment (μB/f.u.) = 0.00
- calculated total energy (eV/f.u.) = -23.701

a = 5.691 Å, b = 5.691 Å, c = 5.691 Å
α = 60.00°, β = 60.00°, γ = 60.00°
Positions (direct):
La (0.000, 0.000, 0.000)
Al (0.127, 0.624, 0.624)
Al (0.624, 0.127, 0.624)
Al (0.624, 0.624, 0.127)
Al (0.624, 0.624, 0.624)
In (0.250, 0.250, 0.250)

---

# 3
This record from Alexandria via LeMat-Bulk describes crystalline NaLiAc at its relaxed geometry. The functional is PBE.

Calculated values
- ΔH_f (0 K) (meV per atom) = 135
- space-group type = P3m1 (156)
- total moment (μB/f.u.) = 0.00
- distance to the lowest polymorph of the same formula (eV/atom) = 0.011
- calculated total energy (eV/f.u.) = -6.937

a = 3.765 Å, b = 3.765 Å, c = 8.920 Å
α = 90.00°, β = 90.00°, γ = 120.00°
Positions (direct):
Na (0.000, 0.000, 0.000)
Li (0.667, 0.333, 0.309)
Ac (0.333, 0.667, 0.631)

---

# 4
This record from Alexandria via LeMat-Bulk describes crystalline KW at its relaxed geometry. The functional is PBE.

Calculated values
- ΔH_f (0 K) (meV per atom) = 1576
- space-group type = R-3m (166)
- total moment (μB/f.u.) = 0.00
- distance to the lowest polymorph of the same formula (eV/atom) = 0.653
- calculated total energy (eV/f.u.) = -10.900

a = 6.508 Å, b = 6.508 Å, c = 6.508 Å
α = 25.25°, β = 25.25°, γ = 25.25°
Positions (direct):
K (0.000, 0.000, 0.000)
W (0.500, 0.500, 0.500)

---

# 5
This record from Alexandria via LeMat-Bulk describes crystalline Mo2WSe6 at its relaxed geometry. The functional is PBE.

Calculated values
- space-group type = C2/m (12)
- total moment (μB/f.u.) = 0.84
- distance to the lowest polymorph of the same formula (eV/atom) = 0.213
- uncorrected formation energy (eV per atom) = -0.431
- calculated total energy (eV/f.u.) = -59.397

a = 7.364 Å, b = 7.364 Å, c = 10.522 Å
α = 120.70°, β = 120.70°, γ = 26.12°
Positions (direct):
Mo (0.193, 0.193, 0.375)
Mo (0.807, 0.807, 0.625)
W (0.500, 0.500, 0.000)
Se (0.158, 0.158, 0.095)
Se (0.163, 0.163, 0.590)
Se (0.477, 0.477, 0.743)
Se (0.523, 0.523, 0.257)
Se (0.837, 0.837, 0.410)
Se (0.842, 0.842, 0.905)

---

# 6
This record from Alexandria via LeMat-Bulk describes crystalline SrLa at its relaxed geometry. The functional is PBE.

Calculated values
- ΔH_f (0 K) (meV per atom) = 107
- space-group type = Pmmn (59)
- total moment (μB/f.u.) = 0.00
- distance to the lowest polymorph of the same formula (eV/atom) = 0.046
- calculated total energy (eV/f.u.) = -6.395

a = 4.020 Å, b = 4.843 Å, c = 9.220 Å
α = 90.00°, β = 90.00°, γ = 90.00°
Positions (direct):
Sr (0.250, 0.250, 0.155)
Sr (0.750, 0.750, 0.845)
La (0.250, 0.250, 0.579)
La (0.750, 0.750, 0.421)

---

# 7
This record from Alexandria via LeMat-Bulk describes crystalline Ta3Nb3Ru at its relaxed geometry. The functional is PBE.

Calculated values
- ΔH_f (0 K) (meV per atom) = 222
- space-group type = Cmcm (63)
- total moment (μB/f.u.) = 0.00
- distance to the lowest polymorph of the same formula (eV/atom) = 0.000
- calculated total energy (eV/f.u.) = -73.488

a = 7.993 Å, b = 7.993 Å, c = 4.661 Å
α = 90.00°, β = 90.00°, γ = 118.30°
Positions (direct):
Ta (0.053, 0.947, 0.750)
Ta (0.228, 0.358, 0.750)
Ta (0.358, 0.228, 0.250)
Ta (0.642, 0.772, 0.750)
Ta (0.772, 0.642, 0.250)
Ta (0.947, 0.053, 0.250)
Nb (0.047, 0.423, 0.250)
Nb (0.188, 0.812, 0.250)
Nb (0.423, 0.047, 0.750)
Nb (0.577, 0.953, 0.250)
Nb (0.812, 0.188, 0.750)
Nb (0.953, 0.577, 0.750)
Ru (0.416, 0.584, 0.250)
Ru (0.584, 0.416, 0.750)

---

# 8
This record from Alexandria via LeMat-Bulk describes crystalline LiLaW2 at its relaxed geometry. The functional is PBE.

Calculated values
- ΔH_f (0 K) (meV per atom) = 858
- space-group type = Pmmm (47)
- total moment (μB/f.u.) = 0.00
- distance to the lowest polymorph of the same formula (eV/atom) = 0.409
- calculated total energy (eV/f.u.) = -29.316

a = 2.717 Å, b = 4.773 Å, c = 6.017 Å
α = 90.00°, β = 90.00°, γ = 90.00°
Positions (direct):
Li (0.000, 0.000, 0.000)
La (0.000, 0.000, 0.500)
W (0.500, 0.500, 0.211)
W (0.500, 0.500, 0.789)

---

# 9
This record from Alexandria via LeMat-Bulk describes crystalline Be2AuBr at its relaxed geometry. The functional is PBE.

Calculated values
- space-group type = I4/mmm (139)
- total moment (μB/f.u.) = 0.00
- distance to the lowest polymorph of the same formula (eV/atom) = 0.923
- uncorrected formation energy (eV per atom) = 0.777
- calculated total energy (eV/f.u.) = -9.296

a = 4.664 Å, b = 4.664 Å, c = 4.664 Å
α = 127.20°, β = 127.20°, γ = 77.93°
Positions (direct):
Be (0.250, 0.750, 0.500)
Be (0.750, 0.250, 0.500)
Au (0.000, 0.000, 0.000)
Br (0.500, 0.500, 0.000)

---

# 10
This record from Alexandria via LeMat-Bulk describes crystalline RbLa2Sb2 at its relaxed geometry. The functional is PBE.

Calculated values
- space-group type = I4/mmm (139)
- total moment (μB/f.u.) = 0.41
- distance to the lowest polymorph of the same formula (eV/atom) = 0.119
- uncorrected formation energy (eV per atom) = -0.673
- calculated total energy (eV/f.u.) = -22.432

a = 8.651 Å, b = 8.651 Å, c = 8.651 Å
α = 143.23°, β = 143.23°, γ = 52.98°
Positions (direct):
Rb (0.000, 0.000, 0.000)
La (0.250, 0.750, 0.500)
La (0.750, 0.250, 0.500)
Sb (0.360, 0.360, 0.000)
Sb (0.640, 0.640, 0.000)

---

# 11
This record from Alexandria via LeMat-Bulk describes crystalline KNi2Sb at its relaxed geometry. The functional is PBE.

Calculated values
- space-group type = Imm2 (44)
- total moment (μB/f.u.) = 0.00
- uncorrected formation energy (eV per atom) = 0.370
- calculated total energy (eV/f.u.) = -15.302

a = 5.932 Å, b = 5.932 Å, c = 5.932 Å
α = 150.91°, β = 127.97°, γ = 60.72°
Positions (direct):
K (0.000, 0.000, 0.000)
Ni (0.305, 0.805, 0.500)
Ni (0.498, 0.498, 0.000)
Sb (0.705, 0.205, 0.500)

---

# 12
This record from Alexandria via LeMat-Bulk describes crystalline Mn3CuP at its relaxed geometry. The functional is PBE.

Calculated values
- ΔH_f (0 K) (meV per atom) = 908
- space-group type = Pm-3m (221)
- total moment (μB/f.u.) = 11.85
- distance to the lowest polymorph of the same formula (eV/atom) = 0.534
- calculated total energy (eV/f.u.) = -32.473

a = 4.494 Å, b = 4.494 Å, c = 4.494 Å
α = 90.00°, β = 90.00°, γ = 90.00°
Positions (direct):
Mn (0.000, 0.000, 0.500)
Mn (0.000, 0.500, 0.000)
Mn (0.500, 0.000, 0.000)
Cu (0.000, 0.000, 0.000)
P (0.500, 0.500, 0.500)

---

> The highest total moment belongs to which entry?

Mn3CuP

---

> Number 1 is which compound?

Cs3ThPa2O9

---

> calculated total energy of number 8 (LiLaW2)?

-29.316 eV/f.u.